This record from Alexandria describes a geometry-optimized CdFeRe4 structure. The functional is PBE.

Values from the calculation:
energy of formation from the pure elements: 0.62 eV per atom
space-group type: F-43m
N(E_F): 5.4 states/eV/cell
mass density: 15.14 g/cm³

Cell lengths 5.212, 5.212, 5.212 Å; angles 60.00, 60.00, 60.00 degrees
Fractional coordinates of all 6 atoms:
Cd (0.000, 0.000, 0.000)
Fe (0.750, 0.750, 0.750)
Re (0.375, 0.375, 0.375)
Re (0.375, 0.375, 0.874)
Re (0.375, 0.874, 0.375)
Re (0.874, 0.375, 0.375)

This record from Alexandria describes a geometry-optimized CsZrCu2I8 structure. The functional is PBE.

Values from the calculation:
formation energy (no corrections): -7.79 eV per formula unit
space-group type: C2/m
N(E_F): 9.5 states/eV/cell
mass density: 4.39 g/cm³

Cell lengths 7.218, 7.218, 11.023 Å; angles 101.55, 101.55, 67.98 degrees
Fractional coordinates of all 12 atoms:
Cs (0.000, 0.000, 0.000)
Zr (0.000, 0.000, 0.500)
Cu (0.394, 0.394, 0.704)
Cu (0.606, 0.606, 0.296)
I (0.207, 0.709, 0.306)
I (0.240, 0.240, 0.497)
I (0.291, 0.793, 0.694)
I (0.350, 0.350, 0.915)
I (0.650, 0.650, 0.085)
I (0.709, 0.207, 0.306)
I (0.760, 0.760, 0.503)
I (0.793, 0.291, 0.694)

This record from Alexandria describes a geometry-optimized ZrOs2Pt structure. The functional is PBE.

Values from the calculation:
energy of formation from the pure elements: -0.20 eV per atom
space-group type: P4mm
N(E_F): 3.2 states/eV/cell
mass density: 16.95 g/cm³

Cell lengths 2.841, 2.841, 8.096 Å; angles 90.00, 90.00, 90.00 degrees
Fractional coordinates of all 4 atoms:
Zr (0.000, 0.000, 0.000)
Os (0.000, 0.000, 0.483)
Os (0.500, 0.500, 0.275)
Pt (0.500, 0.500, 0.736)

This record from Alexandria describes a geometry-optimized SrCdFe2 structure. The functional is PBE.

Values from the calculation:
energy of formation from the pure elements: 0.31 eV per atom
space-group type: Pmm2
N(E_F): 3.6 states/eV/cell
mass density: 6.35 g/cm³

Cell lengths 3.259, 3.271, 7.652 Å; angles 90.00, 90.00, 90.00 degrees
Fractional coordinates of all 4 atoms:
Sr (0.000, 0.000, 0.000)
Cd (0.500, 0.500, 0.657)
Fe (0.000, 0.000, 0.419)
Fe (0.500, 0.500, 0.300)

This record from Alexandria describes a geometry-optimized Li4Tm3GeS8 structure. The functional is PBE.

Values from the calculation:
formation energy (no corrections): -24.51 eV per formula unit
space-group type: R-3m
N(E_F): 1.7 states/eV/cell
mass density: 4.63 g/cm³

Cell lengths 7.553, 7.553, 7.553 Å; angles 60.72, 60.72, 60.72 degrees
Fractional coordinates of all 16 atoms:
Li (0.000, 0.000, 0.000)
Li (0.000, 0.500, 0.500)
Li (0.500, 0.000, 0.500)
Li (0.500, 0.500, 0.000)
Tm (0.000, 0.000, 0.500)
Tm (0.000, 0.500, 0.000)
Tm (0.500, 0.000, 0.000)
Ge (0.500, 0.500, 0.500)
S (0.250, 0.250, 0.250)
S (0.258, 0.258, 0.741)
S (0.258, 0.741, 0.258)
S (0.259, 0.742, 0.742)
S (0.741, 0.258, 0.258)
S (0.742, 0.259, 0.742)
S (0.742, 0.742, 0.259)
S (0.750, 0.750, 0.750)

This record from Alexandria describes a geometry-optimized Ce3Ru structure. The functional is PBE.

Values from the calculation:
energy of formation from the pure elements: -0.11 eV per atom
space-group type: Imm2
N(E_F): 11.1 states/eV/cell
mass density: 8.88 g/cm³

Cell lengths 5.990, 5.990, 5.990 Å; angles 146.03, 66.54, 124.67 degrees
Fractional coordinates of all 4 atoms:
Ce (0.000, 0.000, 0.000)
Ce (0.363, 0.562, 0.800)
Ce (0.762, 0.562, 0.200)
Ru (0.389, 0.889, 0.500)

This record from Alexandria describes a geometry-optimized ThV4 structure. The functional is PBE.

Values from the calculation:
energy of formation from the pure elements: 1.89 eV per atom
space-group type: Pm-3m
N(E_F): 8.1 states/eV/cell
mass density: 7.10 g/cm³

Cell lengths 4.671, 4.671, 4.671 Å; angles 90.00, 90.00, 90.00 degrees
Fractional coordinates of all 5 atoms:
Th (0.000, 0.000, 0.000)
V (0.000, 0.000, 0.500)
V (0.000, 0.500, 0.000)
V (0.500, 0.000, 0.000)
V (0.500, 0.500, 0.500)

This record from Alexandria describes a geometry-optimized YH2RhS structure. The functional is PBE.

Values from the calculation:
calculated total energy: -28.4 eV per cell
space-group type: P4/mmm
N(E_F): 2.0 states/eV/cell
mass density: 5.71 g/cm³

Cell lengths 3.719, 3.719, 4.750 Å; angles 90.00, 90.00, 90.00 degrees
Fractional coordinates of all 5 atoms:
Y (0.000, 0.000, 0.000)
H (0.000, 0.500, 0.500)
H (0.500, 0.000, 0.500)
Rh (0.500, 0.500, 0.500)
S (0.500, 0.500, 0.000)

This record from Alexandria describes a geometry-optimized Cd2HgAs structure. The functional is PBE.

Values from the calculation:
energy of formation from the pure elements: 0.17 eV per atom
space-group type: Cmm2
N(E_F): 2.0 states/eV/cell
mass density: 9.01 g/cm³
distance to the lowest polymorph of the same formula: 155 meV per atom

Cell lengths 3.214, 3.214, 9.070 Å; angles 90.00, 90.00, 100.34 degrees
Fractional coordinates of all 4 atoms:
Cd (0.000, 0.000, 0.000)
Cd (0.500, 0.500, 0.250)
Hg (0.000, 0.000, 0.511)
As (0.500, 0.500, 0.780)

This record from Alexandria describes a geometry-optimized SiW5 structure. The functional is PBE.

Values from the calculation:
formation energy (no corrections): 0.36 eV per formula unit
space-group type: P4/mmm
N(E_F): 4.4 states/eV/cell
mass density: 16.85 g/cm³
distance to the lowest polymorph of the same formula: 29 meV per atom

Cell lengths 3.213, 3.213, 9.039 Å; angles 90.00, 90.00, 90.00 degrees
Fractional coordinates of all 6 atoms:
Si (0.000, 0.000, 0.000)
W (0.000, 0.000, 0.327)
W (0.000, 0.000, 0.673)
W (0.500, 0.500, 0.155)
W (0.500, 0.500, 0.500)
W (0.500, 0.500, 0.845)

This record from Alexandria describes a geometry-optimized Ho2In5Cl12 structure. The functional is PBE.

Values from the calculation:
formation energy (no corrections): -26.28 eV per formula unit
space-group type: C2/m
N(E_F): 8.4 states/eV/cell
mass density: 4.03 g/cm³

Cell lengths 9.268, 9.268, 8.202 Å; angles 114.61, 114.61, 63.16 degrees
Fractional coordinates of all 19 atoms:
Ho (0.243, 0.757, 0.000)
Ho (0.757, 0.243, 0.000)
In (0.000, 0.000, 0.500)
In (0.273, 0.273, 0.056)
In (0.323, 0.323, 0.494)
In (0.677, 0.677, 0.506)
In (0.727, 0.727, 0.944)
Cl (0.088, 0.698, 0.169)
Cl (0.090, 0.090, 0.208)
Cl (0.132, 0.501, 0.735)
Cl (0.302, 0.912, 0.831)
Cl (0.485, 0.485, 0.182)
Cl (0.499, 0.868, 0.265)
Cl (0.501, 0.132, 0.735)
Cl (0.515, 0.515, 0.818)
Cl (0.698, 0.088, 0.169)
Cl (0.868, 0.499, 0.265)
Cl (0.910, 0.910, 0.792)
Cl (0.912, 0.302, 0.831)

This record from Alexandria describes a geometry-optimized NaSrAlO3 structure. The functional is PBE.

Values from the calculation:
formation energy (no corrections): -13.63 eV per formula unit
space-group type: C2/m
N(E_F): 0.0 states/eV/cell
mass density: 3.45 g/cm³

Cell lengths 5.560, 5.560, 6.710 Å; angles 109.80, 109.80, 71.44 degrees
Fractional coordinates of all 12 atoms:
Na (0.183, 0.817, 0.000)
Na (0.817, 0.183, 0.000)
Sr (0.195, 0.195, 0.642)
Sr (0.805, 0.805, 0.358)
Al (0.432, 0.432, 0.270)
Al (0.568, 0.568, 0.730)
O (0.225, 0.653, 0.658)
O (0.246, 0.246, 0.051)
O (0.347, 0.775, 0.342)
O (0.653, 0.225, 0.658)
O (0.754, 0.754, 0.949)
O (0.775, 0.347, 0.342)